<P>
Density functional theory data (PBE) for an optimized crystal structure of Th2MgPt.

The structure in extended XYZ format:
```
4
Lattice="1.8362 1.0601 10.9240 -1.8362 1.0601 10.9240 0.0000 -2.1203 10.9240" Properties=species:S:1:pos:R:3 pbc="T T T"
Th 0.0000 0.0000 3.4641
Th 0.0000 0.0000 29.3079
Mg 0.0000 0.0000 0.0000
Pt 0.0000 0.0000 16.3860
```

Summary:
- ρ (g cm⁻³) = 8.9

<Q>
Density functional theory data (PBE) for an optimized crystal structure of Th2MgPt.

The structure in extended XYZ format:
```
4
Lattice="3.7496 0.0000 0.0000 0.0000 3.7496 0.0000 0.0000 0.0000 7.3933" Properties=species:S:1:pos:R:3 pbc="T T T"
Th 0.0000 0.0000 1.6543
Th 0.0000 0.0000 5.7391
Mg 1.8748 1.8748 3.6967
Pt 1.8748 1.8748 0.0000
```

Summary:
- ρ (g cm⁻³) = 10.9

Stability order, top to bottom: <Q>, <P>

<P>
Density functional theory data (PBE) for an optimized crystal structure of Th2MgPt9.

The structure in extended XYZ format:
```
12
Lattice="2.7173 1.5688 8.9801 -2.7173 1.5688 8.9801 0.0000 -3.1377 8.9801" Properties=species:S:1:pos:R:3 pbc="T T T"
Th 0.0000 0.0000 3.6488
Th 0.0000 0.0000 23.2916
Mg 0.0000 0.0000 0.0000
Pt -1.3783 -0.7958 11.2618
Pt 0.0000 0.0000 8.9631
Pt 0.0000 -1.5916 15.6786
Pt -1.3783 0.7958 15.6786
Pt 0.0000 0.0000 13.4702
Pt 1.3783 -0.7958 11.2618
Pt 0.0000 1.5916 11.2618
Pt 0.0000 0.0000 17.9773
Pt 1.3783 0.7958 15.6786
```

Summary:
- ρ (g cm⁻³) = 16.2

<Q>
Density functional theory data (PBE) for an optimized crystal structure of Th2MgPt9.

The structure in extended XYZ format:
```
12
Lattice="4.1747 0.0000 0.0000 0.0000 4.1747 0.0000 0.0000 0.0000 12.3105" Properties=species:S:1:pos:R:3 pbc="T T T"
Th 0.0000 0.0000 2.1705
Th 0.0000 0.0000 10.1400
Mg 0.0000 0.0000 6.1552
Pt 0.0000 2.0873 0.0000
Pt 0.0000 2.0873 4.2653
Pt 0.0000 2.0873 8.0452
Pt 2.0873 0.0000 0.0000
Pt 2.0873 0.0000 4.2653
Pt 2.0873 0.0000 8.0452
Pt 2.0873 2.0873 2.1188
Pt 2.0873 2.0873 6.1552
Pt 2.0873 2.0873 10.1917
```

Summary:
- ρ (g cm⁻³) = 17.4

Stability order, top to bottom: <Q>, <P>